This record from Alexandria via LeMat-Bulk describes crystalline LiTa2W at its relaxed geometry. The functional is PBE-GGA.

Lattice parameters (Å, degrees): 4.544 4.544 4.544 60.00 60.00 60.00
Atoms (fractional coordinates):
Li  0.000  0.000  0.000
W  0.500  0.500  0.500
Ta  0.250  0.250  0.250
Ta  0.750  0.750  0.750

Relative energy among the computed polymorphs: 17.6 meV/atom
E_tot: -37.73 eV for the cell shown